Entry 1:
Computed, not measured: an optimized crystal structure of MgTe at the PBE-GGA level of DFT.

The total energy comes out at -50.3 eV per cell. As for the uncorrected formation energy: -778 meV per atom.

It has space group I-43m (No. 217), with a = 8.852 Å, b = 8.852 Å, c = 8.852 Å, α = 90.00°, β = 90.00° and γ = 90.00°. The asymmetric unit holds Mg at (0.149, 0.149, 0.149) and Te at (0.170, 0.170, 0.830).

Entry 2:
Computed, not measured: an optimized crystal structure of PmUSn at the PBE-GGA level of DFT.

For the formation energy, the calculation gives 0.048 eV per atom. The total energy comes out at -79.6 eV per cell.

It has space group Immm (No. 71), with a = 5.356 Å, b = 6.459 Å, c = 9.022 Å, α = 90.00°, β = 90.00° and γ = 90.00°. The asymmetric unit holds Pm at (0.000, 0.000, 0.176), U at (0.000, 0.500, 0.134) and Sn at (0.000, 0.258, 0.500).

Entry 3:
Computed, not measured: an optimized crystal structure of La5Nd3N8 at the PBE-GGA level of DFT.

The total energy comes out at -380.4 eV per cell. As for the uncorrected formation energy: -1329 meV per atom.

It has space group R-3m (No. 166, hexagonal axes), with a = 7.4300 Å, b = 7.4300 Å, c = 18.2089 Å, α = 90.00°, β = 90.00° and γ = 120.00°. The asymmetric unit holds La at (0.0000, 0.0000, 0.0000), La at (0.0000, 0.0000, 0.5000), La at (0.0000, 0.5000, 0.0000), Nd at (0.0000, 0.5000, 0.5000), N at (0.0000, 0.0000, 0.2488) and N at (0.0019, 0.5010, 0.7510).

Entry 4:
Computed, not measured: an optimized crystal structure of LaPr2InO at the PBE-GGA level of DFT.

The total energy comes out at -29.2 eV per cell. As for the uncorrected formation energy: -1406 meV per atom.

It has space group P4/mmm (No. 123), with a = 5.060 Å, b = 5.060 Å, c = 5.034 Å, α = 90.00°, β = 90.00° and γ = 90.00°. The asymmetric unit holds La at (0.000, 0.000, 0.000), Pr at (0.000, 0.500, 0.500), In at (0.500, 0.500, 0.000) and O at (0.000, 0.000, 0.500).

Entry 5:
Computed, not measured: an optimized crystal structure of LaZrNi2 at the PBE-GGA level of DFT.

For the formation energy, the calculation gives -0.277 eV per atom. The total energy comes out at -52.3 eV per cell.

It has space group C2/m (No. 12), with a = 7.671 Å, b = 4.433 Å, c = 5.547 Å, α = 90.00°, β = 117.36° and γ = 90.00°. The asymmetric unit holds La at (0.000, 0.000, 0.000), Zr at (0.000, 0.500, 0.500) and Ni at (0.205, 0.000, 0.615).

Entry 6:
Computed, not measured: an optimized crystal structure of Nd2ZrGa at the PBE-GGA level of DFT.

For the formation energy, the calculation gives -0.134 eV per atom. The relative energy among the computed polymorphs comes out at 7.2 kJ/mol of formula units. The total energy comes out at -21.6 eV per cell.

It has space group P4/mmm (No. 123), with a = 3.488 Å, b = 3.488 Å, c = 8.930 Å, α = 90.00°, β = 90.00° and γ = 90.00°. The asymmetric unit holds Nd at (0.000, 0.000, 0.228), Zr at (0.500, 0.500, 0.500) and Ga at (0.500, 0.500, 0.000).